This record from Alexandria via LeMat-Bulk describes crystalline GaFe3B at its relaxed geometry. The functional is PBE.

Results
- Polymorph energy (0 for the lowest one): 1975 meV per atom
- Formation energy: 1812 meV/atom
- Energy: -26.032 eV/f.u.

Cell lengths 4.2787, 4.2787, 4.2787 Å; angles 90.00, 90.00, 90.00 degrees
Fractional positions:
B (0.5000, 0.5000, 0.5000)
Fe (0.0000, 0.5000, 0.0000)
Fe (0.0000, 0.0000, 0.5000)
Fe (0.5000, 0.0000, 0.0000)
Ga (0.0000, 0.0000, 0.0000)